# AcThPSe, relaxed, DFT PBE
data_AcThPSe
_chemical_formula_sum 'Ac3 Th3 P3 Se3'
_cell_length_a 4.1958
_cell_length_b 4.1958
_cell_length_c 22.5599
_cell_angle_alpha 90.00
_cell_angle_beta 90.00
_cell_angle_gamma 120.00
_symmetry_space_group_name_H-M 'R 3 m'
_symmetry_Int_Tables_number 160
_symmetry_space_group_name_Hall 'R 3 -2"'
loop_
_atom_site_label
_atom_site_fract_x
_atom_site_fract_y
_atom_site_fract_z
_atom_site_occupancy
Ac1 0.0000 0.0000 0.0000 1
Th1 0.0000 0.0000 0.8147 1
P1 0.0000 0.0000 0.4142 1
Se1 0.0000 0.0000 0.2338 1
# **E_form (uncorrected)**: -1605 meV per atom